First-principles (PBE) data for crystalline MgZnCoRu at its relaxed geometry, as listed in Alexandria via LeMat-Bulk.

Geometry as CIF:
```
data_MgZnCoRu
_cell_length_a 4.287
_cell_length_b 4.287
_cell_length_c 4.287
_cell_angle_alpha 60.00
_cell_angle_beta 60.00
_cell_angle_gamma 60.00
_space_group_name_H-M_alt 'P 1'
_space_group_IT_number 1
loop_
_space_group_symop_operation_xyz
'x,y,z'
loop_
_atom_site_label
_atom_site_fract_x
_atom_site_fract_y
_atom_site_fract_z
_atom_site_occupancy
Mg1 0.000 0.000 0.000 1
Zn1 0.750 0.750 0.750 1
Co1 0.250 0.250 0.250 1
Ru1 0.500 0.500 0.500 1
```

- Raw total energy: -19.143 eV per cell
- Symmetry: F-43m (216)
- Crystal system: cubic
- Calculated formation energy: 0.0269 eV/atom